12
Lattice="-1.3287 -4.6257 -3.6847 5.8280 -3.0439 1.7144 -4.5344 -0.1264 6.7817" Properties=species:S:1:pos:R:3 comment="Ho4InC, optimized geometry, DFT PBE-GGA" crystal_system=monoclinic magnetic_moment_mub_per_cell=0.0 formation_energy_ev_per_fu=-1.5 spacegroup=C2/c pbc="T T T"
Ho -1.7940 -4.5210 2.0440
Ho -3.9627 -2.5259 3.6966
Ho 1.7588 -3.2750 2.7674
Ho 0.7723 -4.5871 -0.4112
Ho 3.9276 -5.2700 1.1147
Ho -0.9661 -1.0959 2.4327
Ho -0.8074 -3.2088 5.2226
Ho 0.9309 -6.7001 2.3787
C 0.6468 -1.5851 4.2480
C -2.9316 -2.3760 1.5485
In 1.3329 -1.1958 0.0832
In -1.3681 -6.6001 4.7282

***

4
Lattice="0.0000 3.4263 3.4263 3.4263 0.0000 3.4263 3.4263 3.4263 0.0000" Properties=species:S:1:pos:R:3 comment="CuRePb2, optimized geometry, DFT PBE-GGA" relative_energy_ev_per_atom=0.355 crystal_system=cubic magnetic_moment_mub_per_cell=0.0 formation_energy_ev_per_fu=3.8 spacegroup=Fm-3m pbc="T T T"
Pb 1.7132 1.7132 1.7132
Pb 5.1395 5.1395 5.1395
Re 3.4263 3.4263 3.4263
Cu 0.0000 0.0000 0.0000

***

5
Lattice="4.5089 0.0000 0.0000 0.0000 4.5089 0.0000 0.0000 0.0000 4.5348" Properties=species:S:1:pos:R:3 comment="CuP2AuS, optimized geometry, DFT PBE-GGA" relative_energy_ev_per_atom=0.000 crystal_system=tetragonal magnetic_moment_mub_per_cell=0.0 e_form_raw_mev_per_atom=903 spacegroup=P4/mmm pbc="T T T"
P 2.2544 0.0000 0.0000
P 0.0000 2.2544 0.0000
S 0.0000 0.0000 2.2674
Cu 0.0000 0.0000 0.0000
Au 2.2544 2.2544 2.2674

***

3
Lattice="-2.0194 3.2612 -1.9600 0.5528 -3.7416 -2.0616 -2.5920 -0.9674 1.0608" Properties=species:S:1:pos:R:3 comment="InFeRu, optimized geometry, DFT PBE-GGA" crystal_system=trigonal magnetic_moment_mub_per_cell=3.6 formation_energy_ev_per_fu=0.7 spacegroup=P3m1 pbc="T T T"
In -1.9709 0.6251 -1.6628
Ru -2.2621 -2.1379 -1.2266
Fe -2.4175 -0.9023 0.9894

***

4
Lattice="-0.6371 1.8189 4.9498 -2.7912 -4.1160 1.8662 4.8648 0.2888 -2.1130" Properties=species:S:1:pos:R:3 comment="CaTaSb2, optimized geometry, DFT PBE-GGA" relative_energy_ev_per_atom=0.246 crystal_system=orthorhombic magnetic_moment_mub_per_cell=0.0 e_form_raw_mev_per_atom=-63 spacegroup=Immm pbc="T T T"
Ta 1.2568 0.4796 3.1224
Ca 0.1798 -2.4879 1.5806
Sb -1.7497 -1.1724 3.4787
Sb -3.3927 -2.2733 6.7453

***

10
Lattice="-7.5039 -5.7640 2.7968 -1.1459 -8.9212 -4.0561 -0.6860 -6.4245 2.3235" Properties=species:S:1:pos:R:3 comment="La3Ho6Sc, optimized geometry, DFT PBE-GGA" relative_energy_ev_per_atom=0.110 crystal_system=trigonal magnetic_moment_mub_per_cell=0.0 formation_energy_ev_per_fu=2.6 spacegroup=R3 pbc="T T T"
Sc -7.6644 -15.3711 -0.0290
La -1.3358 -5.9722 1.5123
La -3.6843 -11.2395 1.7600
La -5.3421 -10.0856 -0.3096
Ho -6.4015 -9.7672 3.4139
Ho -7.7708 -12.0632 0.5986
Ho -4.6365 -13.9053 -0.3071
Ho -4.9993 -7.1687 1.1076
Ho -3.1756 -11.0810 -2.5345
Ho -1.6685 -8.8951 0.1090

***

5
Lattice="-4.3643 -3.4254 1.1577 1.5694 -0.1598 5.4436 -3.2574 4.5124 1.0716" Properties=species:S:1:pos:R:3 comment="ScTl3In, optimized geometry, DFT PBE-GGA" relative_energy_ev_per_atom=0.000 crystal_system=cubic magnetic_moment_mub_per_cell=0.0 formation_energy_ev_per_fu=1.7 spacegroup=Pm-3m pbc="T T T"
Tl -1.6287 2.2562 0.5358
Tl 0.7847 -0.0799 2.7218
Tl -2.1822 -1.7127 0.5788
Sc 0.0000 0.0000 0.0000
In -3.0262 0.4636 3.8364

***

20
Lattice="3.1300 0.0000 0.0000 0.0000 9.6054 0.0000 0.0000 0.0000 9.6054" Properties=species:S:1:pos:R:3 comment="CeSc2B2Ru5, optimized geometry, DFT PBE-GGA" crystal_system=tetragonal magnetic_moment_mub_per_cell=0.0 formation_energy_ev_per_fu=-4.9 spacegroup=P4/mbm pbc="T T T"
B 0.0000 8.4430 3.6403
B 0.0000 3.6403 1.1623
B 0.0000 1.1623 5.9650
B 0.0000 5.9650 8.4430
Ru 1.5650 0.0000 4.8027
Ru 1.5650 2.1240 0.7122
Ru 1.5650 6.9267 4.0904
Ru 1.5650 0.7122 7.4814
Ru 1.5650 7.4814 8.8931
Ru 1.5650 4.8027 0.0000
Ru 1.5650 8.8931 2.1240
Ru 1.5650 5.5149 6.9267
Ru 1.5650 4.0904 2.6787
Ru 1.5650 2.6787 5.5149
Sc 0.0000 6.4421 1.6395
Sc 0.0000 7.9659 6.4421
Sc 0.0000 1.6395 3.1632
Sc 0.0000 3.1632 7.9659
Ce 0.0000 4.8027 4.8027
Ce 0.0000 0.0000 0.0000

***

18
Lattice="-3.1700 4.6813 -8.6441 -6.4057 -1.4465 1.5658 -0.6211 9.4041 5.3207" Properties=species:S:1:pos:R:3 comment="Ac6La2Tm, optimized geometry, DFT PBE-GGA" crystal_system=monoclinic magnetic_moment_mub_per_cell=0.0 formation_energy_ev_per_fu=1.2 spacegroup=P2_1/c pbc="T T T"
La -3.7001 3.0135 2.1451
La -6.4968 9.6255 -3.9028
La -1.9593 10.1394 0.8824
La -8.2375 2.4996 -2.6401
Tm -0.3105 4.7021 2.6603
Tm -4.7879 1.6174 -3.5392
Ac -3.9390 11.4936 -2.0767
Ac -6.8164 3.1780 -6.2108
Ac -6.5535 8.5851 -0.5925
Ac -3.6168 6.9419 1.5110
Ac -3.6434 4.0538 -1.1652
Ac -3.8677 5.8286 -6.2927
Ac -6.8765 4.9272 0.9295
Ac -6.3291 6.8104 4.5350
Ac -6.2578 1.1453 0.3190
Ac -6.5800 5.6971 -3.2687
Ac -3.3203 7.7118 -2.6871
Ac -3.3805 9.4610 4.4531

***

15
Lattice="-1.8969 3.8874 -0.4184 -3.7524 -1.6794 1.4085 4.8591 4.3184 18.0940" Properties=species:S:1:pos:R:3 comment="Tb4Cu3Sb8, optimized geometry, DFT PBE-GGA" crystal_system=tetragonal magnetic_moment_mub_per_cell=0.0 e_form_raw_mev_per_atom=-658 spacegroup=P-4m2 pbc="T T T"
Sb 2.6400 3.1739 17.5213
Sb 0.8429 4.3634 14.1519
Sb 1.1874 1.0553 4.4217
Sb 1.8794 4.4568 10.3206
Sb 0.1551 0.9656 8.2684
Sb -1.6331 2.1630 4.9322
Sb 3.6717 3.2631 13.6723
Sb -0.6055 2.2485 1.0678
Tb 3.3431 5.7577 15.7713
Tb 0.8611 3.5519 6.5291
Tb 1.1734 1.8705 12.0600
Tb -1.3087 -0.3353 2.8177
Cu 0.0000 0.0000 0.0000
Cu -0.3951 3.2632 9.5421
Cu 2.4296 2.1592 9.0470

***

18
Lattice="3.1423 7.1837 -4.0007 -8.4861 -0.3974 2.3051 1.3197 2.3546 5.2645" Properties=species:S:1:pos:R:3 comment="Np5Ge4, optimized geometry, DFT PBE-GGA" crystal_system=hexagonal magnetic_moment_mub_per_cell=41.2 formation_energy_ev_per_fu=-1.0 spacegroup=P6_3/mcm pbc="T T T"
Ge -4.9836 0.3398 2.7594
Ge 2.1646 4.4517 2.4527
Ge -2.3562 6.0151 2.8867
Ge 0.6599 1.1773 2.6323
Ge -2.1828 1.6173 4.8102
Ge -1.6679 3.1258 0.6822
Ge 0.0000 0.0000 0.0000
Ge 2.2974 5.0867 -1.1888
Np -2.0981 0.4749 1.9756
Np -0.5392 3.7076 3.4633
Np -4.6100 2.1296 0.2032
Np -0.0740 5.8340 0.7335
Np 3.2330 6.8943 1.0924
Np -3.4849 5.4333 0.1057
Np 1.2290 2.6440 0.1715
Np -3.9501 3.3069 2.8354
Np -0.7338 4.6567 -1.8988
Np -5.0683 1.4822 5.5939

***

3
Lattice="4.8907 0.0000 0.0000 2.4454 4.2355 0.0000 2.4454 1.4118 3.9932" Properties=species:S:1:pos:R:3 comment="SnPbAu, optimized geometry, DFT PBE-GGA" crystal_system=cubic magnetic_moment_mub_per_cell=0.0 formation_energy_ev_per_fu=-0.2 spacegroup=F-43m pbc="T T T"
Sn 4.8907 2.8237 1.9966
Au 2.4454 1.4118 0.9983
Pb 0.0000 0.0000 0.0000

***

20
Lattice="-6.9669 1.2141 -5.3036 5.1013 -2.8748 -7.1286 -4.7044 -6.1626 4.9996" Properties=species:S:1:pos:R:3 comment="Sm6DyY2Mg, optimized geometry, DFT PBE-GGA" crystal_system=monoclinic magnetic_moment_mub_per_cell=0.0 formation_energy_ev_per_fu=1.2 spacegroup=C2/c pbc="T T T"
Dy 3.0054 -2.6901 -8.0164
Dy -9.5753 -5.1332 0.5838
Sm -3.4414 -0.6209 -7.3470
Sm -0.3220 -2.3256 -8.0392
Sm -1.3651 -2.6877 -4.7158
Sm -3.5311 -5.1766 2.8902
Sm -5.2048 -5.1356 -2.7168
Sm -4.0739 -2.6080 0.3956
Sm -3.1286 -7.2024 -0.0856
Sm -6.2479 -5.4977 0.6066
Sm -3.0389 -2.6467 -10.3228
Sm -2.4961 -5.2153 -7.8282
Sm 0.9782 -4.8375 -3.4040
Sm -7.5482 -2.9858 -4.0286
Mg -2.0925 -4.3993 -1.7111
Mg -4.4774 -3.4240 -5.7215
Y -6.7745 -5.6086 -6.0293
Y -4.1854 -1.9116 -2.9338
Y 0.2046 -2.2147 -1.4033
Y -2.3846 -5.9117 -4.4988

***

6
Lattice="3.1546 -0.0098 -0.0080 0.0142 4.8126 -0.5967 0.0173 0.5479 5.4337" Properties=species:S:1:pos:R:3 comment="ZrHPd, optimized geometry, DFT PBE-GGA" relative_energy_ev_per_atom=0.281 crystal_system=monoclinic magnetic_moment_mub_per_cell=0.0 spacegroup=P2_1/m pbc="T T T"
H 0.0806 0.6010 2.0743
H 1.6618 0.8125 3.5049
Pd 1.6627 4.0331 0.0960
Pd 0.0942 2.1931 4.8868
Zr 0.0957 4.4243 3.1877
Zr 1.6610 1.8020 1.7949

***

6
Lattice="-6.5097 -1.1087 -1.4472 -1.9804 -0.5789 -6.4376 -1.9514 -6.0074 -2.4089" Properties=species:S:1:pos:R:3 comment="RbInBi4, optimized geometry, DFT PBE-GGA" relative_energy_ev_per_atom=0.050 crystal_system=cubic magnetic_moment_mub_per_cell=0.0 formation_energy_ev_per_fu=-0.3 spacegroup=F-43m pbc="T T T"
Bi -5.5547 -1.7783 -5.2302
Bi -3.2449 -4.2605 -5.7176
Bi -5.5400 -4.5290 -3.1889
Bi -6.5435 -4.8223 -6.4509
In 0.0000 0.0000 0.0000
Rb -2.6104 -1.9238 -2.5734

***

4
Lattice="-8.2300 1.6094 3.7315 -6.6339 3.6926 5.1579 -7.7513 4.2634 2.4473" Properties=species:S:1:pos:R:3 comment="PIrCl2, optimized geometry, DFT PBE-GGA" relative_energy_ev_per_atom=1.503 crystal_system=trigonal magnetic_moment_mub_per_cell=1.2 e_form_raw_mev_per_atom=840 spacegroup=R-3m pbc="T T T"
P 0.0000 0.0000 0.0000
Ir -11.3076 4.7827 5.6684
Cl -20.7076 8.7586 10.3805
Cl -1.9076 0.8069 0.9563

***

6
Lattice="3.7518 -0.0003 0.0003 -0.0001 5.9550 -0.0579 0.0002 1.5526 5.1264" Properties=species:S:1:pos:R:3 comment="AlAgGe, optimized geometry, DFT PBE-GGA" crystal_system=monoclinic magnetic_moment_mub_per_cell=0.0 formation_energy_ev_per_fu=0.4 spacegroup=P2_1/m pbc="T T T"
Al 2.4246 5.9348 3.5896
Al 0.5491 1.8558 4.6754
Ge 0.5483 4.4998 5.0145
Ge 2.4251 3.2900 3.2487
Ag 0.5489 1.2505 2.0525
Ag 2.4243 4.9883 1.0858

***

14
Lattice="-1.8328 -2.5024 8.6932 3.9201 -4.1230 -0.3603 2.8468 2.5892 1.3455" Properties=species:S:1:pos:R:3 comment="TaCu2Pd4, optimized geometry, DFT PBE-GGA" relative_energy_ev_per_atom=0.023 crystal_system=orthorhombic magnetic_moment_mub_per_cell=0.0 formation_energy_ev_per_fu=-0.7 spacegroup=Pbam pbc="T T T"
Pd 2.8956 -4.6390 2.8007
Pd 1.3377 -2.0283 1.0730
Pd 3.5964 -2.0079 8.6055
Pd 3.1096 -1.8501 3.1566
Pd 3.5664 -4.5456 7.3768
Pd 2.0386 0.6027 6.8778
Pd 1.8245 -2.1861 6.5218
Pd 1.3678 0.5094 2.3016
Cu 1.3476 -0.6349 4.5470
Cu 4.0541 -1.6773 0.8264
Cu 3.5866 -3.4013 5.1314
Cu 0.8801 -2.3590 8.8520
Ta 1.0437 -3.3127 4.1665
Ta 0.0000 0.0000 0.0000

***

5
Lattice="5.2969 0.0000 0.0000 0.0000 5.2969 0.0000 0.0000 0.0000 5.2969" Properties=species:S:1:pos:R:3 comment="VBi3Rh, optimized geometry, DFT PBE-GGA" relative_energy_ev_per_atom=0.000 crystal_system=cubic magnetic_moment_mub_per_cell=4.1 formation_energy_ev_per_fu=3.5 spacegroup=Pm-3m pbc="T T T"
Bi 2.6485 0.0000 0.0000
Bi 0.0000 2.6485 0.0000
Bi 0.0000 0.0000 2.6485
V 2.6485 2.6485 2.6485
Rh 0.0000 0.0000 0.0000

***

12
Lattice="-0.8206 2.8569 -5.9030 -7.1318 -3.2613 -0.5869 -2.1711 3.8965 4.7296" Properties=species:S:1:pos:R:3 comment="CdSbO, optimized geometry, DFT PBE-GGA" relative_energy_ev_per_atom=0.005 crystal_system=monoclinic magnetic_moment_mub_per_cell=0.0 e_form_raw_mev_per_atom=-638 spacegroup=Cm pbc="T T T"
O -4.8307 4.7970 -0.8901
O -2.8529 3.2568 -3.1815
O -7.5043 3.5744 -1.1101
O -7.3111 1.2181 -3.5484
Cd -2.7535 0.9998 -3.3954
Cd -3.1682 3.2548 -0.9754
Cd -7.4049 1.3174 -1.3241
Cd -5.6485 -0.3241 -3.6337
Sb -5.4080 1.6881 3.6482
Sb -0.7565 1.3706 1.5769
Sb -1.9889 4.0752 1.5228
Sb -4.4692 0.4963 -1.1355